# 1
## YTl3Sb2O9 (PBE)

Data for a relaxed structure of YTl3Sb2O9.

Summary:
The total magnetization is 0.00 μB/f.u. As for the density of states at the Fermi level: 7.77 states/eV/cell. The calculated density is 8.33 g/cm3. As for the uncorrected formation energy: -131.3 kJ per mole of atoms.

```
YTl3Sb2O9
1.0
5.8670 0.0000 0.0000
-2.9335 5.0810 0.0000
0.0000 0.0000 7.2868
Y Tl Sb O
1 3 2 9
direct
0.0000 0.0000 0.0000
0.0000 0.0000 0.5000
0.3333 0.6667 0.1622
0.6667 0.3333 0.8378
0.3333 0.6667 0.6599
0.6667 0.3333 0.3401
0.0000 0.5000 0.5000
0.1719 0.3437 0.8090
0.1719 0.8281 0.8090
0.3437 0.1719 0.1910
0.5000 0.0000 0.5000
0.5000 0.5000 0.5000
0.6563 0.8281 0.8090
0.8281 0.1719 0.1910
0.8281 0.6563 0.1910
```

# 2
## Y2Tl2SbO6 (PBE)

Data for a relaxed structure of Y2Tl2SbO6.

Summary:
The total magnetization is 0.00 μB/f.u. As for the density of states at the Fermi level: 2.50 states/eV/cell. The calculated density is 6.04 g/cm3. As for the uncorrected formation energy: -197.3 kJ per mole of atoms.

```
Y2Tl2SbO6
1.0
2.9133 -5.0928 0.0000
2.9133 5.0928 0.0000
-0.1121 0.0000 7.4542
Y Tl Sb O
2 2 1 6
direct
0.1652 0.8348 0.0000
0.8348 0.1652 0.0000
0.3408 0.6592 0.5000
0.6592 0.3408 0.5000
0.5000 0.5000 0.0000
0.1990 0.5003 0.8594
0.2032 0.2032 0.1375
0.5003 0.1990 0.8594
0.4997 0.8010 0.1406
0.7968 0.7968 0.8625
0.8010 0.4997 0.1406
```

# 3
## Y4TlSbO (PBE)

Data for a relaxed structure of Y4TlSbO.

Summary:
The total magnetization is 0.00 μB/f.u. As for the density of states at the Fermi level: 13.65 states/eV/cell. The calculated density is 6.59 g/cm3. As for the uncorrected formation energy: -121.6 kJ per mole of atoms.

```
Y4TlSbO
1.0
3.2352 -8.3965 0.0000
3.2352 8.3965 0.0000
0.0000 0.0000 6.4683
Y Tl Sb O
8 2 2 2
direct
0.0000 0.5000 0.0000
0.0000 0.5000 0.5000
0.0741 0.9259 0.7500
0.4232 0.5768 0.7500
0.5000 0.0000 0.0000
0.5000 0.0000 0.5000
0.5768 0.4232 0.2500
0.9259 0.0741 0.2500
0.1102 0.8898 0.2500
0.8898 0.1102 0.7500
0.3884 0.6116 0.2500
0.6116 0.3884 0.7500
0.2500 0.7500 0.7500
0.7500 0.2500 0.2500
```

# 4
## YTl2SbO4 (PBE)

Data for a relaxed structure of YTl2SbO4.

Summary:
The total magnetization is 0.00 μB/f.u. As for the density of states at the Fermi level: 0.39 states/eV/cell. The calculated density is 8.23 g/cm3. As for the uncorrected formation energy: -146.8 kJ per mole of atoms.

```
YTl2SbO4
1.0
-3.6113 3.6969 5.1645
3.6113 -3.6969 5.1645
3.6113 3.6969 -5.1645
Y Tl Sb O
2 4 2 8
direct
0.5000 0.0000 0.0000
0.5000 0.5000 0.5000
0.0000 0.0000 0.0000
0.0000 0.0000 0.5000
0.0000 0.5000 0.0000
0.5000 0.0000 0.5000
0.0000 0.5000 0.5000
0.5000 0.5000 0.0000
0.2747 0.3148 0.5400
0.2747 0.7347 0.9600
0.2782 0.7283 0.5499
0.3216 0.2717 0.0499
0.6784 0.7283 0.9501
0.7218 0.2717 0.4501
0.7253 0.2653 0.0400
0.7253 0.6852 0.4600
```